The following is a DFT calculation (GGA-PBE) of an optimized crystal structure of NbV2HPt.

Cell: 3.9059 3.9059 4.1144 Å, 90.00 90.00 90.00°
Element x y z (fractional)
1 H 0.0000 0.0000 0.0000
2 Nb 0.0000 0.0000 0.5000
3 Pt 0.5000 0.5000 0.5000
4 V 0.0000 0.5000 0.0000
5 V 0.5000 0.0000 0.0000

Properties
* DFT total energy: -7.8059 eV/atom
* polymorph energy (0 for the lowest one): 0.0 kJ/mol of atoms
* calculated volume: 62.77 Å³ per cell
* symmetry: P4/mmm
* crystal system: tetragonal